# 1
Below is an optimized crystal structure of Th8Tc2Au, with properties calculated at the PBE-GGA level.

Values from the calculation:
ΔH_f (0 K): -0.132 eV/atom
N(E_F): 24.0 states/eV/cell
M_tot: 0.00 μB per formula unit
final energy: -7.71 eV/atom

Structure (CIF):
```
data_Th8Tc2Au
_cell_length_a 18.460
_cell_length_b 5.338
_cell_length_c 6.678
_cell_angle_alpha 90.00
_cell_angle_beta 109.58
_cell_angle_gamma 90.00
_space_group_name_H-M_alt 'C 1 2/m 1'
_space_group_IT_number 12
loop_
_space_group_symop_operation_xyz
'x,y,z'
'-x,-y,-z'
'-x,y,-z'
'x,-y,z'
'x+1/2,y+1/2,z'
'-x+1/2,-y+1/2,-z'
'-x+1/2,y+1/2,-z'
'x+1/2,-y+1/2,z'
loop_
_atom_site_label
_atom_site_type_symbol
_atom_site_fract_x
_atom_site_fract_y
_atom_site_fract_z
_atom_site_occupancy
Th1 Th 0.025 0.000 0.275 1
Th2 Th 0.094 0.500 0.991 1
Th3 Th 0.180 0.500 0.531 1
Th4 Th 0.202 0.000 0.842 1
Tc1 Tc 0.163 0.000 0.243 1
Au1 Au 0.000 0.500 0.500 1
```


# 2
Below is an optimized crystal structure of K2LiHgO, with properties calculated at the PBE-GGA level.

Values from the calculation:
energy relative to the elements, uncorrected: -0.7930 eV per atom
N(E_F): 2.0 states/eV/cell
M_tot: 0.00 μB per formula unit
final energy: -2.67 eV/atom

Structure (CIF):
```
data_K2LiHgO
_cell_length_a 5.897
_cell_length_b 5.897
_cell_length_c 3.739
_cell_angle_alpha 90.00
_cell_angle_beta 90.00
_cell_angle_gamma 90.00
_space_group_name_H-M_alt 'P 4/m m m'
_space_group_IT_number 123
_space_group_name_Hall '-P 4 2'
loop_
_atom_site_label
_atom_site_type_symbol
_atom_site_fract_x
_atom_site_fract_y
_atom_site_fract_z
_atom_site_occupancy
K1 K 0.000 0.500 0.000 1
Li1 Li 0.000 0.000 0.500 1
Hg1 Hg 0.500 0.500 0.500 1
O1 O 0.000 0.000 0.000 1
```


# 3
Below is an optimized crystal structure of TaMn2Re, with properties calculated at the PBE-GGA level.

Values from the calculation:
ΔH_f (0 K): -0.018 eV/atom
N(E_F): 4.0 states/eV/cell
polymorph energy (0 for the lowest one): 5 meV per atom
M_tot: 2.21 μB per formula unit
final energy: -10.68 eV/atom

Structure (CIF):
```
data_TaMn2Re
_cell_length_a 3.075
_cell_length_b 3.075
_cell_length_c 5.957
_cell_angle_alpha 90.00
_cell_angle_beta 90.00
_cell_angle_gamma 90.00
_space_group_name_H-M_alt 'P 4 m m'
_space_group_IT_number 99
loop_
_space_group_symop_operation_xyz
'x,y,z'
'-y,x,z'
'-x,-y,z'
'y,-x,z'
'-x,y,z'
'y,x,z'
'x,-y,z'
'-y,-x,z'
loop_
_atom_site_label
_atom_site_type_symbol
_atom_site_fract_x
_atom_site_fract_y
_atom_site_fract_z
_atom_site_occupancy
Ta1 Ta 0.000 0.000 0.000 1
Mn1 Mn 0.000 0.000 0.479 1
Mn2 Mn 0.500 0.500 0.241 1
Re1 Re 0.500 0.500 0.714 1
```


# 4
Below is an optimized crystal structure of LaTb2Dy12, with properties calculated at the PBE-GGA level.

Values from the calculation:
ΔH_f (0 K): 0.109 eV/atom
N(E_F): 92.9 states/eV/cell
M_tot: 0.00 μB per formula unit
final energy: -4.52 eV/atom

Structure (CIF):
```
data_LaTb2Dy12
_cell_length_a 7.123
_cell_length_b 11.195
_cell_length_c 24.414
_cell_angle_alpha 90.00
_cell_angle_beta 94.19
_cell_angle_gamma 90.00
_space_group_name_H-M_alt 'C 1 2/m 1'
_space_group_IT_number 12
loop_
_space_group_symop_operation_xyz
'x,y,z'
'-x,-y,-z'
'-x,y,-z'
'x,-y,z'
'x+1/2,y+1/2,z'
'-x+1/2,-y+1/2,-z'
'-x+1/2,y+1/2,-z'
'x+1/2,-y+1/2,z'
loop_
_atom_site_label
_atom_site_type_symbol
_atom_site_fract_x
_atom_site_fract_y
_atom_site_fract_z
_atom_site_occupancy
La1 La 0.249 0.000 0.000 1
Tb1 Tb 0.068 0.000 0.273 1
Tb2 Tb 0.069 0.500 0.273 1
Dy1 Dy 0.019 0.250 0.076 1
Dy2 Dy 0.113 0.251 0.445 1
Dy3 Dy 0.141 0.000 0.574 1
Dy4 Dy 0.143 0.500 0.573 1
Dy5 Dy 0.167 0.251 0.669 1
Dy6 Dy 0.199 0.250 0.797 1
Dy7 Dy 0.215 0.000 0.861 1
Dy8 Dy 0.215 0.500 0.861 1
```


# 5
Below is an optimized crystal structure of HfCdBr, with properties calculated at the PBE-GGA level.

Values from the calculation:
energy relative to the elements, uncorrected: -0.4002 eV per atom
N(E_F): 11.8 states/eV/cell
M_tot: 0.00 μB per formula unit
final energy: -4.58 eV/atom

Structure (CIF):
```
data_HfCdBr
_cell_length_a 15.891
_cell_length_b 3.334
_cell_length_c 5.789
_cell_angle_alpha 90.00
_cell_angle_beta 90.00
_cell_angle_gamma 90.00
_space_group_name_H-M_alt 'A m m 2'
_space_group_IT_number 38
loop_
_space_group_symop_operation_xyz
'x,y,z'
'-x,-y,z'
'-x,y,z'
'x,-y,z'
'x,y+1/2,z+1/2'
'-x,-y+1/2,z+1/2'
'-x,y+1/2,z+1/2'
'x,-y+1/2,z+1/2'
loop_
_atom_site_label
_atom_site_type_symbol
_atom_site_fract_x
_atom_site_fract_y
_atom_site_fract_z
_atom_site_occupancy
Hf1 Hf 0.155 0.000 0.000 1
Cd1 Cd 0.000 0.000 0.668 1
Cd2 Cd 0.500 0.000 0.941 1
Br1 Br 0.276 0.000 0.667 1
```


# 6
Below is an optimized crystal structure of TaOsBr, with properties calculated at the PBE-GGA level.

Values from the calculation:
energy relative to the elements, uncorrected: 0.8052 eV per atom
N(E_F): 2.5 states/eV/cell
polymorph energy (0 for the lowest one): 690 meV per atom
M_tot: 0.00 μB per formula unit
final energy: -7.45 eV/atom

Structure (CIF):
```
data_TaOsBr
_cell_length_a 6.243
_cell_length_b 6.243
_cell_length_c 6.243
_cell_angle_alpha 90.00
_cell_angle_beta 90.00
_cell_angle_gamma 90.00
_space_group_name_H-M_alt 'F -4 3 m'
_space_group_IT_number 216
_space_group_name_Hall 'F -4 2 3'
loop_
_atom_site_label
_atom_site_type_symbol
_atom_site_fract_x
_atom_site_fract_y
_atom_site_fract_z
_atom_site_occupancy
Ta1 Ta 0.000 0.000 0.000 1
Os1 Os 0.250 0.250 0.750 1
Br1 Br 0.000 0.000 0.500 1
```


# 7
Below is an optimized crystal structure of TmBe2Cu4, with properties calculated at the PBE-GGA level.

Values from the calculation:
ΔH_f (0 K): -0.129 eV/atom
N(E_F): 5.6 states/eV/cell
M_tot: 0.00 μB per formula unit
final energy: -4.17 eV/atom

Structure (CIF):
```
data_TmBe2Cu4
_cell_length_a 7.810
_cell_length_b 6.104
_cell_length_c 4.750
_cell_angle_alpha 90.00
_cell_angle_beta 126.47
_cell_angle_gamma 90.00
_space_group_name_H-M_alt 'C 1 2/m 1'
_space_group_IT_number 12
loop_
_space_group_symop_operation_xyz
'x,y,z'
'-x,-y,-z'
'-x,y,-z'
'x,-y,z'
'x+1/2,y+1/2,z'
'-x+1/2,-y+1/2,-z'
'-x+1/2,y+1/2,-z'
'x+1/2,-y+1/2,z'
loop_
_atom_site_label
_atom_site_type_symbol
_atom_site_fract_x
_atom_site_fract_y
_atom_site_fract_z
_atom_site_occupancy
Tm1 Tm 0.000 0.000 0.000 1
Be1 Be 0.000 0.500 0.249 1
Cu1 Cu 0.194 0.198 0.694 1
```


# 8
Below is an optimized crystal structure of Be2AlOs2, with properties calculated at the PBE-GGA level.

Values from the calculation:
ΔH_f (0 K): -0.027 eV/atom
N(E_F): 9.0 states/eV/cell
polymorph energy (0 for the lowest one): 352 meV per atom
M_tot: 0.00 μB per formula unit
final energy: -6.76 eV/atom

Structure (CIF):
```
data_Be2AlOs2
_cell_length_a 6.451
_cell_length_b 6.451
_cell_length_c 2.989
_cell_angle_alpha 90.00
_cell_angle_beta 90.00
_cell_angle_gamma 90.00
_space_group_name_H-M_alt 'P 4/m b m'
_space_group_IT_number 127
_space_group_name_Hall '-P 4 2ab'
loop_
_atom_site_label
_atom_site_type_symbol
_atom_site_fract_x
_atom_site_fract_y
_atom_site_fract_z
_atom_site_occupancy
Be1 Be 0.141 0.359 0.000 1
Al1 Al 0.000 0.000 0.500 1
Os1 Os 0.149 0.649 0.500 1
```